[1]
VASP calculation (PBE) on an optimized crystal structure of Mg4CN4.

a b c (Å): 10.2289 3.2024 12.5943
angles (deg): 90.00 90.00 90.00
Fractional coordinates of all 36 atoms:
Mg 0.1448 0.7500 0.3628
N 0.5182 0.7500 0.8690
C 0.6185 0.7500 0.9249
Mg 0.8552 0.2500 0.6372
N 0.2790 0.2500 0.0234
Mg 0.3937 0.2500 0.4509
Mg 0.6063 0.7500 0.5491
Mg 0.6357 0.2500 0.3401
Mg 0.1063 0.7500 0.9509
Mg 0.8643 0.7500 0.8401
Mg 0.1166 0.2500 0.7630
C 0.3815 0.2500 0.0751
N 0.7559 0.2500 0.2019
Mg 0.8937 0.2500 0.0491
Mg 0.3643 0.7500 0.6599
Mg 0.3834 0.7500 0.2630
Mg 0.8834 0.7500 0.2370
N 0.4806 0.2500 0.6123
N 0.7790 0.2500 0.4766
Mg 0.6166 0.2500 0.7370
N 0.5194 0.7500 0.3877
N 0.4818 0.2500 0.1310
N 0.0194 0.7500 0.1123
N 0.2210 0.7500 0.5234
Mg 0.1357 0.2500 0.1599
N 0.9806 0.2500 0.8877
N 0.9818 0.2500 0.3690
Mg 0.3552 0.2500 0.8628
C 0.8815 0.2500 0.4249
N 0.0182 0.7500 0.6310
N 0.2441 0.7500 0.7981
Mg 0.6448 0.7500 0.1372
N 0.2559 0.2500 0.2981
N 0.7210 0.7500 0.9766
C 0.1185 0.7500 0.5751
N 0.7441 0.7500 0.7019

Summary:
magnetic moment = 0.0 Bohr magnetons per cell
symmetry = Pnma (62)
uncorrected formation energy = -0.623 eV per atom
total DFT energy (no corrections) = -6.06 eV per atom

[2]
VASP calculation (PBE) on an optimized crystal structure of Ac4Sn2Br.

a b c (Å): 7.6765 7.4656 10.0943
angles (deg): 90.00 108.88 90.00
Fractional coordinates of all 14 atoms:
Ac 0.5284 0.0027 0.2491
Br 0.1828 0.7500 0.1781
Ac 0.4716 0.9973 0.7509
Sn 0.6875 0.7500 0.5528
Ac 0.0511 0.7500 0.4362
Ac 0.9489 0.2500 0.5638
Br 0.8172 0.2500 0.8219
Sn 0.3125 0.2500 0.4472
Ac 0.9505 0.2500 0.1444
Ac 0.4716 0.5027 0.7509
Sn 0.2895 0.2500 0.9545
Sn 0.7105 0.7500 0.0455
Ac 0.0495 0.7500 0.8556
Ac 0.5284 0.4973 0.2491

Summary:
magnetic moment = 0.0 Bohr magnetons per cell
symmetry = P2_1/m (11)
uncorrected formation energy = -0.674 eV per atom
total DFT energy (no corrections) = -4.40 eV per atom

[3]
VASP calculation (PBE) on an optimized crystal structure of Pa4AsRuSe2.

a b c (Å): 3.9388 7.1119 7.1604
angles (deg): 72.04 90.00 90.00
Fractional coordinates of all 8 atoms:
Ru 0.5000 0.5000 0.0000
Pa 0.0000 0.7295 0.7689
Pa 0.0000 0.2705 0.2311
Se 0.5000 0.0000 0.5000
Pa 0.5000 0.2600 0.7574
Pa 0.5000 0.7400 0.2426
As 0.0000 0.5000 0.5000
Se 0.0000 0.0000 0.0000

Summary:
magnetic moment = 0.0 Bohr magnetons per cell
symmetry = P2/m (10)
uncorrected formation energy = -0.961 eV per atom
total DFT energy (no corrections) = -8.32 eV per atom

[4]
VASP calculation (PBE) on an optimized crystal structure of HfCu2TcGe.

a b c (Å): 4.3228 4.7044 4.3228
angles (deg): 90.00 90.00 90.00
Fractional coordinates of all 5 atoms:
Cu 0.5000 0.0000 0.0000
Hf 0.5000 0.5000 0.5000
Cu 0.0000 0.0000 0.5000
Tc 0.0000 0.5000 0.0000
Ge 0.0000 0.0000 0.0000

Summary:
magnetic moment = 0.0 Bohr magnetons per cell
E_form = 0.55 eV per atom
symmetry = P4/mmm (123)
total DFT energy (no corrections) = -6.07 eV per atom

[5]
VASP calculation (PBE) on an optimized crystal structure of K2TaRe.

a b c (Å): 3.3426 3.3649 11.5262
angles (deg): 75.18 90.00 90.00
Fractional coordinates of all 4 atoms:
K 0.0000 0.0959 0.9426
Re 0.0000 0.4276 0.5649
K 0.5000 0.1363 0.3281
Ta 0.5000 0.8403 0.6644

Summary:
magnetic moment = 0.0 Bohr magnetons per cell
E_form = 0.71 eV per atom
symmetry = Pm (6)
E above lowest polymorph = 0 kJ/mol of formula units
total DFT energy (no corrections) = -5.91 eV per atom

[6]
VASP calculation (PBE) on an optimized crystal structure of Be2Tc2Sb.

a b c (Å): 6.2791 6.2791 3.2164
angles (deg): 90.00 90.00 90.00
Fractional coordinates of all 10 atoms:
Sb 0.5000 0.5000 0.0000
Sb 0.0000 0.0000 0.0000
Tc 0.6755 0.8245 0.5000
Be 0.3852 0.8852 0.0000
Be 0.1148 0.3852 0.0000
Tc 0.1755 0.6755 0.5000
Be 0.6148 0.1148 0.0000
Tc 0.3245 0.1755 0.5000
Be 0.8852 0.6148 0.0000
Tc 0.8245 0.3245 0.5000

Summary:
magnetic moment = 0.0 Bohr magnetons per cell
symmetry = P4/mbm (127)
uncorrected formation energy = -0.050 eV per atom
total DFT energy (no corrections) = -6.51 eV per atom

[7]
VASP calculation (PBE) on an optimized crystal structure of Cs2NiAg.

a b c (Å): 6.2788 6.2788 6.2788
angles (deg): 60.00 60.00 60.00
Fractional coordinates of all 4 atoms:
Ag 0.5000 0.5000 0.5000
Ni 0.0000 0.0000 0.0000
Cs 0.2500 0.2500 0.2500
Cs 0.7500 0.7500 0.7500

Summary:
magnetic moment = 1.0 Bohr magnetons per cell
E_form = 0.61 eV per atom
symmetry = Fm-3m (225)
total DFT energy (no corrections) = -1.97 eV per atom

[8]
VASP calculation (PBE) on an optimized crystal structure of TbErNi.

a b c (Å): 3.3911 3.3911 6.6422
angles (deg): 104.79 104.79 90.00
Fractional coordinates of all 3 atoms:
Ni 0.6694 0.6694 0.3387
Tb 0.0340 0.0340 0.0680
Er 0.2967 0.2967 0.5933

Summary:
magnetic moment = 0.0 Bohr magnetons per cell
E_form = -0.25 eV per atom
symmetry = I4mm (107)
E above lowest polymorph = 12 kJ/mol of formula units
total DFT energy (no corrections) = -5.24 eV per atom

[9]
VASP calculation (PBE) on an optimized crystal structure of DySbPdRh.

a b c (Å): 4.7626 4.7626 4.7626
angles (deg): 60.00 60.00 60.00
Fractional coordinates of all 4 atoms:
Rh 0.5000 0.5000 0.5000
Dy 0.2500 0.2500 0.2500
Sb 0.7500 0.7500 0.7500
Pd 0.0000 0.0000 0.0000

Summary:
magnetic moment = 0.0 Bohr magnetons per cell
symmetry = F-43m (216)
uncorrected formation energy = -0.770 eV per atom
total DFT energy (no corrections) = -6.09 eV per atom

[10]
VASP calculation (PBE) on an optimized crystal structure of BaSb2SI.

a b c (Å): 6.7598 6.7598 6.3811
angles (deg): 90.00 90.00 90.00
Fractional coordinates of all 5 atoms:
I 0.0000 0.0000 0.5000
Ba 0.0000 0.0000 0.0000
Sb 0.5000 0.0000 0.0000
S 0.5000 0.5000 0.5000
Sb 0.0000 0.5000 0.0000

Summary:
magnetic moment = 3.3 Bohr magnetons per cell
symmetry = P4/mmm (123)
uncorrected formation energy = 0.887 eV per atom
E above lowest polymorph = 558 kJ/mol of formula units
total DFT energy (no corrections) = -2.28 eV per atom

[11]
VASP calculation (PBE) on an optimized crystal structure of Pm3SnPd4.

a b c (Å): 3.9366 6.7321 8.3333
angles (deg): 113.82 103.66 90.00
Fractional coordinates of all 8 atoms:
Pm 0.1888 0.1888 0.3777
Pm 0.8112 0.8112 0.6223
Pm 0.0000 0.5000 0.0000
Pd 0.3735 0.5735 0.7469
Sn 0.5000 0.0000 0.0000
Pd 0.3735 0.1734 0.7469
Pd 0.6265 0.8266 0.2531
Pd 0.6265 0.4265 0.2531

Summary:
magnetic moment = 0.0 Bohr magnetons per cell
E_form = -0.69 eV per atom
symmetry = Immm (71)
total DFT energy (no corrections) = -5.57 eV per atom

[12]
VASP calculation (PBE) on an optimized crystal structure of Rb2ZrOsW.

a b c (Å): 6.4023 4.9574 6.4023
angles (deg): 90.00 90.00 90.00
Fractional coordinates of all 5 atoms:
Rb 0.5000 0.0000 0.0000
Rb 0.0000 0.0000 0.5000
W 0.0000 0.0000 0.0000
Zr 0.0000 0.5000 0.0000
Os 0.5000 0.5000 0.5000

Summary:
magnetic moment = 4.1 Bohr magnetons per cell
E_form = 2.64 eV per atom
symmetry = P4/mmm (123)
total DFT energy (no corrections) = -4.29 eV per atom